This record from the Alexandria database describes crystalline Li4Ac3Pt4 at its relaxed geometry. The functional is GGA-PBE.

abc: 7.797 7.797 7.797
angles: 90.00 90.00 90.00
Space group I-43m (No. 217)
Asymmetric unit:
1 Li 0.119 0.119 0.881 (multiplicity 8)
2 Ac 0.000 0.000 0.500 (multiplicity 6)
3 Pt 0.199 0.199 0.199 (multiplicity 8)

Results
The value obtained for the total energy is -4.677 eV per atom. The value obtained for the energy relative to the elements is -0.66 eV/atom. For the energy above the most stable polymorph in this dataset, the calculation gives 1.449 eV/f.u.

=====

This record from the Alexandria database describes crystalline LiAcPt at its relaxed geometry. The functional is GGA-PBE.

abc: 4.4234 4.4234 4.2177
angles: 90.00 90.00 120.00
Space group P-6m2 (No. 187)
Asymmetric unit:
1 Li 0.0000 0.0000 0.0000 (multiplicity 1)
2 Ac 0.3333 0.6667 0.5000 (multiplicity 1)
3 Pt 0.6667 0.3333 0.0000 (multiplicity 1)

Results
The value obtained for the total energy is -4.792 eV per atom. The value obtained for the energy relative to the elements is -0.77 eV/atom. For the energy above the most stable polymorph in this dataset, the calculation gives 0.061 eV/f.u.

=====

This record from the Alexandria database describes crystalline LiAcPt2 at its relaxed geometry. The functional is GGA-PBE.

abc: 4.144 10.685 7.249
angles: 90.00 90.00 90.00
Space group Cmcm (No. 63)
Asymmetric unit:
1 Li 0.000 0.213 0.250 (multiplicity 4)
2 Ac 0.000 0.070 0.750 (multiplicity 4)
3 Pt 0.000 0.355 0.550 (multiplicity 8)

Results
The value obtained for the total energy is -5.348 eV per atom. The value obtained for the energy relative to the elements is -0.82 eV/atom. For the energy above the most stable polymorph in this dataset, the calculation gives 0.193 eV/f.u.

=====

Q: What is the formula in the third record?
A: LiAcPt2